CrAgTe2O8 after structural relaxation. Source: the Alexandria database, functional PBE with a Hubbard U.

Final energy in eV/cell: -63.7
Spin magnetization in μB per formula unit: 3.0

```
12
Lattice="6.130 -0.015 0.000 -2.732 5.487 0.000 -1.699 -2.736 5.216" Properties=species:S:1:pos:R:3 pbc="T T T"
Cr 0.000 0.000 0.000
O 3.197 3.362 0.943
O 0.201 2.110 0.943
O 3.378 -1.497 3.659
O 4.538 0.373 1.557
O 0.103 -1.620 4.273
O -0.103 1.620 4.273
O 2.752 1.482 3.659
O 1.592 -0.388 1.557
Te 1.699 2.736 0.000
Te 3.065 -0.008 2.608
Ag -1.366 2.744 2.608
```